# PmDyInRu PBE optimized geometry
data_PmDyInRu
_chemical_formula_sum 'Pm4 Dy4 In4 Ru4'
_cell_length_a 7.253
_cell_length_b 7.253
_cell_length_c 7.253
_cell_angle_alpha 90.00
_cell_angle_beta 90.00
_cell_angle_gamma 90.00
_space_group_name_H-M_alt 'F -4 3 m'
_space_group_IT_number 216
_space_group_name_Hall 'F -4 2 3'
loop_
_atom_site_label
_atom_site_fract_x
_atom_site_fract_y
_atom_site_fract_z
Pm1 0.000 0.000 0.000
Dy1 0.000 0.000 0.500
In1 0.250 0.250 0.750
Ru1 0.250 0.250 0.250
# Energy of formation in meV per atom: -280

---

# PmDySc2In4 PBE optimized geometry
data_PmDySc2In4
_chemical_formula_sum 'Pm3 Dy3 Sc6 In12'
_cell_length_a 5.2134
_cell_length_b 5.2134
_cell_length_c 25.5957
_cell_angle_alpha 90.00
_cell_angle_beta 90.00
_cell_angle_gamma 120.00
_space_group_name_H-M_alt 'R -3 m'
_space_group_IT_number 166
_space_group_name_Hall '-R 3 2"'
loop_
_atom_site_label
_atom_site_fract_x
_atom_site_fract_y
_atom_site_fract_z
Pm1 0.0000 0.0000 0.0000
Dy1 0.0000 0.0000 0.5000
Sc1 0.0000 0.0000 0.2497
In1 0.0000 0.0000 0.1262
In2 0.0000 0.0000 0.3762
# Energy of formation in meV per atom: -431

---

# PmDyScIn PBE optimized geometry
data_PmDyScIn
_chemical_formula_sum 'Pm4 Dy4 Sc4 In4'
_cell_length_a 7.580
_cell_length_b 7.580
_cell_length_c 7.580
_cell_angle_alpha 90.00
_cell_angle_beta 90.00
_cell_angle_gamma 90.00
_space_group_name_H-M_alt 'F -4 3 m'
_space_group_IT_number 216
_space_group_name_Hall 'F -4 2 3'
loop_
_atom_site_label
_atom_site_fract_x
_atom_site_fract_y
_atom_site_fract_z
Pm1 0.000 0.000 0.000
Dy1 0.250 0.250 0.250
Sc1 0.250 0.250 0.750
In1 0.000 0.000 0.500
# Polymorph energy (0 for the lowest one) in meV/atom: 69
# Energy of formation in meV per atom: -96

---

# PmDyScIn PBE optimized geometry
data_PmDyScIn
_chemical_formula_sum 'Pm4 Dy4 Sc4 In4'
_cell_length_a 7.627
_cell_length_b 7.627
_cell_length_c 7.627
_cell_angle_alpha 90.00
_cell_angle_beta 90.00
_cell_angle_gamma 90.00
_space_group_name_H-M_alt 'F -4 3 m'
_space_group_IT_number 216
_space_group_name_Hall 'F -4 2 3'
loop_
_atom_site_label
_atom_site_fract_x
_atom_site_fract_y
_atom_site_fract_z
Pm1 0.000 0.000 0.000
Dy1 0.000 0.000 0.500
Sc1 0.250 0.250 0.750
In1 0.250 0.250 0.250
# Polymorph energy (0 for the lowest one) in meV/atom: 0
# Energy of formation in meV per atom: -164

---

# Pm2DyIn3Se6 PBE optimized geometry
data_Pm2DyIn3Se6
_chemical_formula_sum 'Pm4 Dy2 In6 Se12'
_cell_length_a 7.313
_cell_length_b 12.665
_cell_length_c 8.105
_cell_angle_alpha 90.00
_cell_angle_beta 107.50
_cell_angle_gamma 90.00
_space_group_name_H-M_alt 'C 1 2/m 1'
_space_group_IT_number 12
loop_
_space_group_symop_operation_xyz
'x,y,z'
'-x,-y,-z'
'-x,y,-z'
'x,-y,z'
'x+1/2,y+1/2,z'
'-x+1/2,-y+1/2,-z'
'-x+1/2,y+1/2,-z'
'x+1/2,-y+1/2,z'
loop_
_atom_site_label
_atom_site_fract_x
_atom_site_fract_y
_atom_site_fract_z
Pm1 0.000 0.167 0.000
Dy1 0.000 0.500 0.000
In1 0.000 0.000 0.500
In2 0.000 0.332 0.500
Se1 0.234 0.337 0.211
Se2 0.244 0.000 0.213
# ΔE_f (raw) in eV/atom: -1.297

---

# PmSm2DyIn4 PBE optimized geometry
data_PmSm2DyIn4
_chemical_formula_sum 'Pm3 Sm6 Dy3 In12'
_cell_length_a 5.3938
_cell_length_b 5.3938
_cell_length_c 26.4776
_cell_angle_alpha 90.00
_cell_angle_beta 90.00
_cell_angle_gamma 120.00
_space_group_name_H-M_alt 'R -3 m'
_space_group_IT_number 166
_space_group_name_Hall '-R 3 2"'
loop_
_atom_site_label
_atom_site_fract_x
_atom_site_fract_y
_atom_site_fract_z
Pm1 0.0000 0.0000 0.0000
Sm1 0.0000 0.0000 0.2496
Dy1 0.0000 0.0000 0.5000
In1 0.0000 0.0000 0.1259
In2 0.0000 0.0000 0.3760
# Energy of formation in meV per atom: -485

---

# PmSmDy2In4 PBE optimized geometry
data_PmSmDy2In4
_chemical_formula_sum 'Pm3 Sm3 Dy6 In12'
_cell_length_a 5.3690
_cell_length_b 5.3690
_cell_length_c 26.3475
_cell_angle_alpha 90.00
_cell_angle_beta 90.00
_cell_angle_gamma 120.00
_space_group_name_H-M_alt 'R -3 m'
_space_group_IT_number 166
_space_group_name_Hall '-R 3 2"'
loop_
_atom_site_label
_atom_site_fract_x
_atom_site_fract_y
_atom_site_fract_z
Pm1 0.0000 0.0000 0.0000
Sm1 0.0000 0.0000 0.5000
Dy1 0.0000 0.0000 0.2500
In1 0.0000 0.0000 0.1252
In2 0.0000 0.0000 0.3752
# Energy of formation in meV per atom: -479

---

# Pm2Sm3Dy6In PBE optimized geometry
data_Pm2Sm3Dy6In
_chemical_formula_sum 'Pm4 Sm6 Dy12 In2'
_cell_length_a 6.132
_cell_length_b 10.628
_cell_length_c 11.764
_cell_angle_alpha 90.00
_cell_angle_beta 100.05
_cell_angle_gamma 90.00
_space_group_name_H-M_alt 'C 1 2/m 1'
_space_group_IT_number 12
loop_
_space_group_symop_operation_xyz
'x,y,z'
'-x,-y,-z'
'-x,y,-z'
'x,-y,z'
'x+1/2,y+1/2,z'
'-x+1/2,-y+1/2,-z'
'-x+1/2,y+1/2,-z'
'x+1/2,-y+1/2,z'
loop_
_atom_site_label
_atom_site_fract_x
_atom_site_fract_y
_atom_site_fract_z
Pm1 0.000 0.166 0.000
Sm1 0.000 0.000 0.500
Sm2 0.000 0.333 0.500
Dy1 0.245 0.336 0.247
Dy2 0.245 0.500 0.752
In1 0.000 0.500 0.000
# Energy of formation in meV per atom: -53

---

# Pm6Sm2Dy3In PBE optimized geometry
data_Pm6Sm2Dy3In
_chemical_formula_sum 'Pm12 Sm4 Dy6 In2'
_cell_length_a 6.189
_cell_length_b 10.737
_cell_length_c 11.846
_cell_angle_alpha 90.00
_cell_angle_beta 100.06
_cell_angle_gamma 90.00
_space_group_name_H-M_alt 'C 1 2/m 1'
_space_group_IT_number 12
loop_
_space_group_symop_operation_xyz
'x,y,z'
'-x,-y,-z'
'-x,y,-z'
'x,-y,z'
'x+1/2,y+1/2,z'
'-x+1/2,-y+1/2,-z'
'-x+1/2,y+1/2,-z'
'x+1/2,-y+1/2,z'
loop_
_atom_site_label
_atom_site_fract_x
_atom_site_fract_y
_atom_site_fract_z
Pm1 0.243 0.000 0.250
Pm2 0.246 0.163 0.750
Sm1 0.000 0.333 0.500
Dy1 0.000 0.167 0.000
Dy2 0.000 0.500 0.000
In1 0.000 0.000 0.500
# Energy of formation in meV per atom: -48

---

# PmSmDyIn PBE optimized geometry
data_PmSmDyIn
_chemical_formula_sum 'Pm4 Sm4 Dy4 In4'
_cell_length_a 7.809
_cell_length_b 7.809
_cell_length_c 7.809
_cell_angle_alpha 90.00
_cell_angle_beta 90.00
_cell_angle_gamma 90.00
_space_group_name_H-M_alt 'F -4 3 m'
_space_group_IT_number 216
_space_group_name_Hall 'F -4 2 3'
loop_
_atom_site_label
_atom_site_fract_x
_atom_site_fract_y
_atom_site_fract_z
Pm1 0.000 0.000 0.000
Sm1 0.250 0.250 0.750
Dy1 0.250 0.250 0.250
In1 0.000 0.000 0.500
# Energy of formation in meV per atom: -112

---

# Pm3Sm2Dy6In PBE optimized geometry
data_Pm3Sm2Dy6In
_chemical_formula_sum 'Pm6 Sm4 Dy12 In2'
_cell_length_a 6.139
_cell_length_b 10.638
_cell_length_c 11.761
_cell_angle_alpha 90.00
_cell_angle_beta 100.06
_cell_angle_gamma 90.00
_space_group_name_H-M_alt 'C 1 2/m 1'
_space_group_IT_number 12
loop_
_space_group_symop_operation_xyz
'x,y,z'
'-x,-y,-z'
'-x,y,-z'
'x,-y,z'
'x+1/2,y+1/2,z'
'-x+1/2,-y+1/2,-z'
'-x+1/2,y+1/2,-z'
'x+1/2,-y+1/2,z'
loop_
_atom_site_label
_atom_site_fract_x
_atom_site_fract_y
_atom_site_fract_z
Pm1 0.000 0.000 0.000
Pm2 0.000 0.333 0.000
Sm1 0.000 0.167 0.500
Dy1 0.245 0.336 0.746
Dy2 0.245 0.500 0.253
In1 0.000 0.500 0.500
# Energy of formation in meV per atom: -51

---

# Tb3Pm6Dy2In PBE optimized geometry
data_Tb3Pm6Dy2In
_chemical_formula_sum 'Tb6 Pm12 Dy4 In2'
_cell_length_a 6.185
_cell_length_b 10.740
_cell_length_c 11.785
_cell_angle_alpha 90.00
_cell_angle_beta 100.21
_cell_angle_gamma 90.00
_space_group_name_H-M_alt 'C 1 2/m 1'
_space_group_IT_number 12
loop_
_space_group_symop_operation_xyz
'x,y,z'
'-x,-y,-z'
'-x,y,-z'
'x,-y,z'
'x+1/2,y+1/2,z'
'-x+1/2,-y+1/2,-z'
'-x+1/2,y+1/2,-z'
'x+1/2,-y+1/2,z'
loop_
_atom_site_label
_atom_site_fract_x
_atom_site_fract_y
_atom_site_fract_z
Tb1 0.000 0.000 0.000
Tb2 0.000 0.332 0.000
Pm1 0.245 0.500 0.252
Pm2 0.246 0.336 0.747
Dy1 0.000 0.166 0.500
In1 0.000 0.500 0.500
# Energy of formation in meV per atom: -39

---

So what do the calculations give for density? Going down the list: 9.112 7.084 7.125 6.995 5.894 7.971 8.177 8.055 7.597 7.987 8.016 7.701 g/cm3.